Record 1
The following is a GGA-PBE calculation of a relaxed MgCr2Os2 crystal, from Alexandria.

a = 7.356 Å, b = 7.356 Å, c = 2.719 Å
α = 90.00°, β = 90.00°, γ = 90.00°
Fractional positions:
Cr 0.160 0.660 0.500
Cr 0.660 0.840 0.500
Cr 0.840 0.340 0.500
Cr 0.340 0.160 0.500
Mg 0.000 0.000 0.000
Mg 0.500 0.500 0.000
Os 0.369 0.869 0.000
Os 0.869 0.631 0.000
Os 0.631 0.131 0.000
Os 0.131 0.369 0.000

Summary:
Fermi-level density of states in states/eV per atom: 0.744
Space-group type: No. 127
Calculated formation energy in eV per atom: 0.190
Spin magnetization in Bohr magnetons per cell: 0.0



Record 2
The following is a GGA-PBE calculation of a relaxed CsCaAs3 crystal, from Alexandria.

a = 5.651 Å, b = 5.651 Å, c = 5.651 Å
α = 90.00°, β = 90.00°, γ = 90.00°
Fractional positions:
Cs 0.000 0.000 0.000
As 0.000 0.500 0.000
As 0.000 0.000 0.500
As 0.500 0.000 0.000
Ca 0.500 0.500 0.500

Summary:
Fermi-level density of states in states/eV per atom: 0.970
Space-group type: No. 221
Calculated formation energy in eV per atom: 1.022
Spin magnetization in Bohr magnetons per cell: 0.0